{"formula": "LiSi2Au", "functional": "PBE", "state": "optimized geometry", "sg": "R-3m (166)", "m_tot_mub_per_fu": 0.00, "formation_energy_uncorrected_mev_per_atom": 121.3, "dos_at_fermi_per_ev_cell": 3.32, "lattice": [[2.948, 0.000, 0.000], [-1.474, 2.553, 0.000], [0.000, 0.000, 25.564]], "species": ["Li", "Li", "Li", "Si", "Si", "Si", "Si", "Si", "Si", "Au", "Au", "Au"], "frac_coords": [[0.000, 0.000, 0.000], [0.333, 0.667, 0.667], [0.667, 0.333, 0.333], [0.000, 0.000, 0.251], [0.000, 0.000, 0.749], [0.333, 0.667, 0.416], [0.333, 0.667, 0.917], [0.667, 0.333, 0.083], [0.667, 0.333, 0.584], [0.000, 0.000, 0.500], [0.333, 0.667, 0.167], [0.667, 0.333, 0.833]]}

{"formula": "TcRhSe6", "functional": "PBE", "state": "optimized geometry", "sg": "P-1 (2)", "m_tot_mub_per_fu": 0.00, "formation_energy_uncorrected_mev_per_atom": -214.2, "dos_at_fermi_per_ev_cell": 4.09, "lattice": [[6.013, 0.000, 0.000], [2.735, 5.434, 0.000], [3.002, -1.217, 5.190]], "species": ["Tc", "Rh", "Se", "Se", "Se", "Se", "Se", "Se"], "frac_coords": [[0.000, 0.000, 0.000], [0.000, 0.500, 0.500], [0.122, 0.319, 0.072], [0.156, 0.811, 0.302], [0.490, 0.803, 0.589], [0.510, 0.197, 0.411], [0.844, 0.189, 0.698], [0.878, 0.681, 0.928]]}